No. 1
The following is a PBE-GGA calculation of crystalline GeBiSeN2 at its relaxed geometry, from Alexandria.

Computed properties:
energy above the most stable polymorph in this dataset: 0.462 eV/atom
crystal system: tetragonal
theoretical density: 5980 kg/m³

Cell: 4.301 4.301 5.832 Å, 90.00 90.00 90.00°
Site moments in Bohr magnetons follow the coordinates.
Atoms (fractional coordinates):
Bi 0.000 0.000 0.000  -0.05
N 0.500 0.000 0.000  0.56
N 0.000 0.500 0.000  0.56
Ge 0.500 0.500 0.500  -0.05
Se 0.000 0.000 0.500  0.03

***

No. 2
The following is a PBE-GGA calculation of crystalline GeBiSeN2 at its relaxed geometry, from Alexandria.

Computed properties:
energy above the most stable polymorph in this dataset: 0.000 eV/atom
crystal system: tetragonal
theoretical density: 7844 kg/m³

Cell: 4.011 4.011 5.114 Å, 90.00 90.00 90.00°
Site moments in Bohr magnetons follow the coordinates.
Atoms (fractional coordinates):
Ge 0.000 0.000 0.000  -0.02
Bi 0.500 0.500 0.500  -0.06
N 0.000 0.500 0.000  0.26
N 0.500 0.000 0.000  0.26
Se 0.000 0.000 0.500  0.00

***

No. 3
The following is a PBE-GGA calculation of crystalline Sr2GeBiN at its relaxed geometry, from Alexandria.

Computed properties:
crystal system: tetragonal
theoretical density: 6183 kg/m³

Cell: 5.425 5.425 4.297 Å, 90.00 90.00 90.00°
Atoms (fractional coordinates):
N 0.000 0.000 0.000
Ge 0.000 0.000 0.500
Sr 0.000 0.500 0.000
Sr 0.500 0.000 0.000
Bi 0.500 0.500 0.500

***

no.,raw formation energy (eV/atom),energy (eV per atom),calculated volume (Å³ per cell)
1,1.479,-4.248,108
2,1.017,-4.710,82
3,-0.486,-4.524,126